Here is TcMoN2O after structural relaxation from the Alexandria database. Energies are from PBE with a Hubbard U.

Values from the calculation:
The value obtained for the total energy is -7.41 eV per atom.

a b c (Å): 3.8989 3.8989 3.9729
angles (deg): 90.00 90.00 90.00
Closest atoms and distances in Å follow each position.
Sites, in units of the cell vectors:
Tc  0.0000  0.0000  0.0000  4 N 1.95, 2 O 1.99
Mo  0.5000  0.5000  0.5000  4 O 2.76, 8 N 2.78
N  0.0000  0.5000  0.0000  2 Tc 1.95
N  0.5000  0.0000  0.0000  2 Tc 1.95
O  0.0000  0.0000  0.5000  2 Tc 1.99